# BeCrMo3

Crystalline BeCrMo3 at its relaxed geometry (PBE, Alexandria).

Cell lengths 4.4424, 4.4424, 4.4424 Å; angles 90.00, 90.00, 90.00 degrees
Fractional coordinates of all 5 atoms:
Cr 0.0000 0.0000 0.0000
Mo 0.0000 0.0000 0.5000
Mo 0.0000 0.5000 0.0000
Mo 0.5000 0.0000 0.0000
Be 0.5000 0.5000 0.5000

Calculated values
- polymorph energy (0 for the lowest one) (meV/atom) = 504
- density of states at the Fermi level (states/eV per atom) = 1.30
- theoretical density (g cm⁻³) = 6.6
- symmetry = Pm-3m, No. 221
- crystal system = cubic

---

# BeCrMo2

Crystalline BeCrMo2 at its relaxed geometry (PBE, Alexandria).

Cell lengths 3.1010, 3.1010, 5.4413 Å; angles 90.00, 90.00, 90.00 degrees
Fractional coordinates of all 4 atoms:
Cr 0.5000 0.5000 0.7500
Be 0.5000 0.5000 0.2500
Mo 0.0000 0.0000 0.0174
Mo 0.0000 0.0000 0.4826

Calculated values
- density of states at the Fermi level (states/eV per atom) = 0.88
- theoretical density (g cm⁻³) = 8.0
- symmetry = P4/mmm, No. 123
- crystal system = tetragonal
- total energy (eV/cell) = -34.52